# PBE-GGA LiTlGe, optimized geometry
# calculated formation energy = -0.08 eV per atom
# volume = 142.3 Å³ per cell
# total energy = -18.29 eV/cell
data_LiTlGe
_chemical_formula_sum 'Li2 Tl2 Ge2'
_symmetry_space_group_name_H-M 'P -1'
_symmetry_Int_Tables_number 2
_cell_length_a 3.8815
_cell_length_b 5.2940
_cell_length_c 7.2102
_cell_angle_alpha 106.19
_cell_angle_beta 90.00
_cell_angle_gamma 90.01
loop_
_symmetry_equiv_pos_as_xyz
'x,y,z'
'-x,-y,-z'
loop_
_atom_site_label
_atom_site_type_symbol
_atom_site_fract_x
_atom_site_fract_y
_atom_site_fract_z
Li1 Li 0.2496 0.1817 0.1577
Tl1 Tl 0.2491 0.2884 0.6005
Ge1 Ge 0.2500 0.6608 0.0507

# PBE-GGA Li7Tl2Ge, optimized geometry
# calculated formation energy = -0.15 eV per atom
# volume = 190.5 Å³ per cell
# total energy = -24.21 eV/cell
data_Li7Tl2Ge
_chemical_formula_sum 'Li7 Tl2 Ge1'
_symmetry_space_group_name_H-M 'P 3 m 1'
_symmetry_Int_Tables_number 156
_cell_length_a 4.5441
_cell_length_b 4.5441
_cell_length_c 10.6506
_cell_angle_alpha 90.00
_cell_angle_beta 90.00
_cell_angle_gamma 120.00
loop_
_symmetry_equiv_pos_as_xyz
'x,y,z'
'-y,x-y,z'
'-x+y,-x,z'
'-y,-x,z'
'-x+y,y,z'
'x,x-y,z'
loop_
_atom_site_label
_atom_site_type_symbol
_atom_site_fract_x
_atom_site_fract_y
_atom_site_fract_z
Li1 Li 0.0000 0.0000 0.0000
Li2 Li 0.0000 0.0000 0.2272
Li3 Li 0.0000 0.0000 0.4819
Li4 Li 0.3333 0.6667 0.0829
Li5 Li 0.3333 0.6667 0.6654
Li6 Li 0.6667 0.3333 0.5704
Li7 Li 0.6667 0.3333 0.8735
Tl1 Tl 0.0000 0.0000 0.7438
Tl2 Tl 0.3333 0.6667 0.3566
Ge1 Ge 0.6667 0.3333 0.1391

# PBE-GGA LiTlGe3, optimized geometry
# calculated formation energy = 0.37 eV per atom
# volume = 108.8 Å³ per cell
# total energy = -16.27 eV/cell
# polymorph energy (0 for the lowest one) = 0.0000 eV per atom
data_LiTlGe3
_chemical_formula_sum 'Li1 Tl1 Ge3'
_symmetry_space_group_name_H-M 'P m -3 m'
_symmetry_Int_Tables_number 221
_symmetry_space_group_name_Hall '-P 4 2 3'
_cell_length_a 4.7744
_cell_length_b 4.7744
_cell_length_c 4.7744
_cell_angle_alpha 90.00
_cell_angle_beta 90.00
_cell_angle_gamma 90.00
loop_
_atom_site_label
_atom_site_type_symbol
_atom_site_fract_x
_atom_site_fract_y
_atom_site_fract_z
Li1 Li 0.0000 0.0000 0.0000
Tl1 Tl 0.5000 0.5000 0.5000
Ge1 Ge 0.0000 0.0000 0.5000

# PBE-GGA Li2Tl2Ge, optimized geometry
# calculated formation energy = -0.08 eV per atom
# volume = 213.9 Å³ per cell
# total energy = -27.17 eV/cell
# polymorph energy (0 for the lowest one) = 0.0000 eV per atom
data_Li2Tl2Ge
_chemical_formula_sum 'Li4 Tl4 Ge2'
_symmetry_space_group_name_H-M 'P 4/m b m'
_symmetry_Int_Tables_number 127
_symmetry_space_group_name_Hall '-P 4 2ab'
_cell_length_a 6.8995
_cell_length_b 6.8995
_cell_length_c 4.4931
_cell_angle_alpha 90.00
_cell_angle_beta 90.00
_cell_angle_gamma 90.00
loop_
_atom_site_label
_atom_site_type_symbol
_atom_site_fract_x
_atom_site_fract_y
_atom_site_fract_z
Li1 Li 0.1476 0.3524 0.0000
Tl1 Tl 0.1697 0.6697 0.5000
Ge1 Ge 0.0000 0.0000 0.0000

# PBE-GGA LiTlGe, optimized geometry
# calculated formation energy = -0.06 eV per atom
# volume = 136.8 Å³ per cell
# total energy = -18.17 eV/cell
data_LiTlGe
_chemical_formula_sum 'Li2 Tl2 Ge2'
_symmetry_space_group_name_H-M 'P 1'
_symmetry_Int_Tables_number 1
_cell_length_a 3.9096
_cell_length_b 4.8672
_cell_length_c 8.1559
_cell_angle_alpha 74.57
_cell_angle_beta 89.19
_cell_angle_gamma 66.83
loop_
_symmetry_equiv_pos_as_xyz
'x,y,z'
loop_
_atom_site_label
_atom_site_type_symbol
_atom_site_fract_x
_atom_site_fract_y
_atom_site_fract_z
Li1 Li 0.0000 0.0000 0.0000
Li2 Li 0.3639 0.2895 0.7600
Tl1 Tl 0.0251 0.9644 0.5683
Tl2 Tl 0.6602 0.6720 0.2974
Ge1 Ge 0.3071 0.3828 0.0813
Ge2 Ge 0.6870 0.6376 0.8747

# PBE-GGA LiTlGe, optimized geometry
# calculated formation energy = 0.04 eV per atom
# volume = 257.3 Å³ per cell
# total energy = -35.06 eV/cell
data_LiTlGe
_chemical_formula_sum 'Li4 Tl4 Ge4'
_symmetry_space_group_name_H-M 'P n m a'
_symmetry_Int_Tables_number 62
_cell_length_a 7.9259
_cell_length_b 6.8061
_cell_length_c 4.7690
_cell_angle_alpha 90.00
_cell_angle_beta 90.00
_cell_angle_gamma 90.00
loop_
_symmetry_equiv_pos_as_xyz
'x,y,z'
'-x,-y,-z'
'-x+1/2,-y,z+1/2'
'x+1/2,y,-z+1/2'
'x+1/2,-y+1/2,-z+1/2'
'-x+1/2,y+1/2,z+1/2'
'-x,y+1/2,-z'
'x,-y+1/2,z'
loop_
_atom_site_label
_atom_site_type_symbol
_atom_site_fract_x
_atom_site_fract_y
_atom_site_fract_z
Li1 Li 0.1638 0.2500 0.0014
Tl1 Tl 0.0000 0.0000 0.5000
Ge1 Ge 0.1760 0.7500 0.0012

# PBE-GGA Li4TlGe, optimized geometry
# calculated formation energy = -0.26 eV per atom
# volume = 206.7 Å³ per cell
# total energy = -32.42 eV/cell
# polymorph energy (0 for the lowest one) = 0.0049 eV per atom
data_Li4TlGe
_chemical_formula_sum 'Li8 Tl2 Ge2'
_symmetry_space_group_name_H-M 'C 1 2/m 1'
_symmetry_Int_Tables_number 12
_cell_length_a 7.8105
_cell_length_b 4.5224
_cell_length_c 5.8526
_cell_angle_alpha 90.00
_cell_angle_beta 90.14
_cell_angle_gamma 90.00
loop_
_symmetry_equiv_pos_as_xyz
'x,y,z'
'-x,-y,-z'
'-x,y,-z'
'x,-y,z'
'x+1/2,y+1/2,z'
'-x+1/2,-y+1/2,-z'
'-x+1/2,y+1/2,-z'
'x+1/2,-y+1/2,z'
loop_
_atom_site_label
_atom_site_type_symbol
_atom_site_fract_x
_atom_site_fract_y
_atom_site_fract_z
Li1 Li 0.1665 0.0000 0.1810
Li2 Li 0.1669 0.0000 0.7311
Tl1 Tl 0.0000 0.5000 0.5000
Ge1 Ge 0.0000 0.5000 0.0000

# PBE-GGA LiTl2Ge, optimized geometry
# calculated formation energy = 0.02 eV per atom
# volume = 94.7 Å³ per cell
# total energy = -11.18 eV/cell
# polymorph energy (0 for the lowest one) = 0.0000 eV per atom
data_LiTl2Ge
_chemical_formula_sum 'Li1 Tl2 Ge1'
_symmetry_space_group_name_H-M 'P 4/m m m'
_symmetry_Int_Tables_number 123
_symmetry_space_group_name_Hall '-P 4 2'
_cell_length_a 4.8751
_cell_length_b 4.8751
_cell_length_c 3.9829
_cell_angle_alpha 90.00
_cell_angle_beta 90.00
_cell_angle_gamma 90.00
loop_
_atom_site_label
_atom_site_type_symbol
_atom_site_fract_x
_atom_site_fract_y
_atom_site_fract_z
Li1 Li 0.0000 0.0000 0.0000
Tl1 Tl 0.0000 0.5000 0.5000
Ge1 Ge 0.5000 0.5000 0.0000

# PBE-GGA LiTlGe, optimized geometry
# calculated formation energy = -0.08 eV per atom
# volume = 139.0 Å³ per cell
# total energy = -18.28 eV/cell
data_LiTlGe
_chemical_formula_sum 'Li2 Tl2 Ge2'
_symmetry_space_group_name_H-M 'P 1 21/m 1'
_symmetry_Int_Tables_number 11
_cell_length_a 5.4277
_cell_length_b 3.9116
_cell_length_c 6.7834
_cell_angle_alpha 90.00
_cell_angle_beta 105.24
_cell_angle_gamma 90.00
loop_
_symmetry_equiv_pos_as_xyz
'x,y,z'
'-x,-y,-z'
'-x,y+1/2,-z'
'x,-y+1/2,z'
loop_
_atom_site_label
_atom_site_type_symbol
_atom_site_fract_x
_atom_site_fract_y
_atom_site_fract_z
Li1 Li 0.0788 0.2500 0.3664
Tl1 Tl 0.2803 0.7500 0.0685
Ge1 Ge 0.3964 0.7500 0.5730

# PBE-GGA Li5Tl6Ge, optimized geometry
# calculated formation energy = -0.15 eV per atom
# volume = 532.4 Å³ per cell
# total energy = -60.30 eV/cell
data_Li5Tl6Ge
_chemical_formula_sum 'Li10 Tl12 Ge2'
_symmetry_space_group_name_H-M 'C 1 2/m 1'
_symmetry_Int_Tables_number 12
_cell_length_a 15.8419
_cell_length_b 6.9604
_cell_length_c 5.0964
_cell_angle_alpha 90.00
_cell_angle_beta 108.67
_cell_angle_gamma 90.00
loop_
_symmetry_equiv_pos_as_xyz
'x,y,z'
'-x,-y,-z'
'-x,y,-z'
'x,-y,z'
'x+1/2,y+1/2,z'
'-x+1/2,-y+1/2,-z'
'-x+1/2,y+1/2,-z'
'x+1/2,-y+1/2,z'
loop_
_atom_site_label
_atom_site_type_symbol
_atom_site_fract_x
_atom_site_fract_y
_atom_site_fract_z
Li1 Li 0.0000 0.0000 0.0000
Li2 Li 0.1597 0.5000 0.6599
Li3 Li 0.1670 0.0000 0.6644
Tl1 Tl 0.0000 0.2414 0.5000
Tl2 Tl 0.1690 0.2465 0.1675
Ge1 Ge 0.0000 0.5000 0.0000

# PBE-GGA LiTlGe, optimized geometry
# calculated formation energy = -0.04 eV per atom
# volume = 131.7 Å³ per cell
# total energy = -18.06 eV/cell
data_LiTlGe
_chemical_formula_sum 'Li2 Tl2 Ge2'
_symmetry_space_group_name_H-M 'P 1 m 1'
_symmetry_Int_Tables_number 6
_cell_length_a 3.1578
_cell_length_b 3.9824
_cell_length_c 10.4735
_cell_angle_alpha 90.00
_cell_angle_beta 91.71
_cell_angle_gamma 90.00
loop_
_symmetry_equiv_pos_as_xyz
'x,y,z'
'x,-y,z'
loop_
_atom_site_label
_atom_site_type_symbol
_atom_site_fract_x
_atom_site_fract_y
_atom_site_fract_z
Li1 Li 0.0000 0.0000 0.0000
Li2 Li 0.0186 0.0000 0.2553
Tl1 Tl 0.0344 0.0000 0.5582
Tl2 Tl 0.4863 0.5000 0.8148
Ge1 Ge 0.5106 0.5000 0.1222
Ge2 Ge 0.5283 0.5000 0.3706

# PBE-GGA LiTlGe, optimized geometry
# calculated formation energy = 0.00 eV per atom
# volume = 259.7 Å³ per cell
# total energy = -35.61 eV/cell
data_LiTlGe
_chemical_formula_sum 'Li4 Tl4 Ge4'
_symmetry_space_group_name_H-M 'P n m a'
_symmetry_Int_Tables_number 62
_cell_length_a 7.9908
_cell_length_b 3.4579
_cell_length_c 9.3993
_cell_angle_alpha 90.00
_cell_angle_beta 90.00
_cell_angle_gamma 90.00
loop_
_symmetry_equiv_pos_as_xyz
'x,y,z'
'-x,-y,-z'
'-x+1/2,-y,z+1/2'
'x+1/2,y,-z+1/2'
'x+1/2,-y+1/2,-z+1/2'
'-x+1/2,y+1/2,z+1/2'
'-x,y+1/2,-z'
'x,-y+1/2,z'
loop_
_atom_site_label
_atom_site_type_symbol
_atom_site_fract_x
_atom_site_fract_y
_atom_site_fract_z
Li1 Li 0.1191 0.2500 0.0987
Tl1 Tl 0.0529 0.2500 0.6626
Ge1 Ge 0.2395 0.7500 0.8850